No. 1
A relaxed structure of K3Ga2P4. Source: Alexandria via LeMat-Bulk, functional GGA-PBE.

Unit cell a=3.9878 b=7.5209 c=8.9658 alpha=117.85 beta=102.86 gamma=90.00
With the nearest neighbours (Å) after each atom.
Fractional coordinates of all 9 atoms:
Ga 0.3313 0.0778 0.6622  4 P 2.45-2.47
K 0.8495 0.4681 0.6989  7 P 3.23-3.54, 2 Ga 3.43, 1 K 3.58
P 0.7965 0.8628 0.5927  3 Ga 2.45-2.47
K 0.0000 0.0000 0.0000  6 P 3.20-3.38
Ga 0.6687 0.9222 0.3378  4 P 2.45-2.47
P 0.5151 0.6555 0.0302  1 P 2.14
K 0.1505 0.5319 0.3011  7 P 3.23-3.54, 2 Ga 3.43, 1 K 3.58
P 0.4849 0.3445 0.9698  1 P 2.14
P 0.2035 0.1372 0.4073  3 Ga 2.45-2.47

## Properties
raw total energy = -3.838 eV per atom



No. 2
A relaxed structure of K2GaP. Source: Alexandria via LeMat-Bulk, functional GGA-PBE.

Unit cell a=4.7680 b=4.7680 c=11.5012 alpha=78.04 beta=78.04 gamma=90.00
With the nearest neighbours (Å) after each atom.
Fractional coordinates of all 8 atoms:
K 0.6119 0.1250 0.2500  2 P 3.20, 2 Ga 3.25, 4 K 3.28-3.46
P 0.2500 0.7500 0.5000  4 K 3.20, 4 Ga 3.37
Ga 0.0000 0.0000 0.0000  4 K 3.25, 4 P 3.37
P 0.5000 0.5000 0.0000  4 K 3.20, 4 Ga 3.37
K 0.1381 0.6250 0.2500  2 P 3.20, 2 Ga 3.25, 4 K 3.28-3.46
K 0.8750 0.8619 0.7500  2 P 3.20, 2 Ga 3.25, 4 K 3.28-3.46
K 0.3750 0.3881 0.7500  2 P 3.20, 2 Ga 3.25, 4 K 3.28-3.46
Ga 0.7500 0.2500 0.5000  4 K 3.25, 4 P 3.37

## Properties
energy relative to the lowest polymorph listed for this composition = 274 meV/atom
raw total energy = -2.289 eV per atom



No. 3
A relaxed structure of KGaP. Source: Alexandria via LeMat-Bulk, functional GGA-PBE.

Unit cell a=3.8968 b=4.9386 c=8.7403 alpha=90.00 beta=102.88 gamma=90.00
With the nearest neighbours (Å) after each atom.
Fractional coordinates of all 6 atoms:
K 0.6769 0.7500 0.3538  5 P 3.29-3.47, 2 Ga 3.38
P 0.1194 0.2500 0.2388  2 Ga 2.36
P 0.8806 0.7500 0.7612  2 Ga 2.36
Ga 0.5416 0.2500 0.0833  2 P 2.36
K 0.3231 0.2500 0.6462  5 P 3.29-3.47, 2 Ga 3.38
Ga 0.4584 0.7500 0.9167  2 P 2.36

## Properties
energy relative to the lowest polymorph listed for this composition = 78 meV/atom
raw total energy = -3.413 eV per atom



No. 4
A relaxed structure of KGaP. Source: Alexandria via LeMat-Bulk, functional GGA-PBE.

Unit cell a=4.7085 b=9.2897 c=9.4645 alpha=90.00 beta=90.00 gamma=90.00
With the nearest neighbours (Å) after each atom.
Fractional coordinates of all 12 atoms:
K 0.9991 0.2521 0.2599  4 P 3.29-3.33
K 0.9991 0.7479 0.2599  4 P 3.29-3.33
K 0.0009 0.7479 0.7599  4 P 3.29-3.33
Ga 0.5549 0.5000 0.0087  2 P 2.38
P 0.5009 0.5000 0.7586  2 Ga 2.38
Ga 0.5028 0.0000 0.5104  2 P 2.35
Ga 0.4451 0.5000 0.5087  2 P 2.38
Ga 0.4972 0.0000 0.0104  2 P 2.35
P 0.4991 0.5000 0.2586  2 Ga 2.38
P 0.0029 0.0000 0.5100  2 Ga 2.35
K 0.0009 0.2521 0.7599  4 P 3.29-3.33
P 0.9971 0.0000 0.0100  2 Ga 2.35

## Properties
energy relative to the lowest polymorph listed for this composition = 220 meV/atom
raw total energy = -3.271 eV per atom



Calculated M_tot in order - 0.0, 0.0, 0.0, 0.0 μB per cell